{"formula": "CoBrF3", "functional": "GGA+U", "state": "relaxed", "lattice_angstrom": [[4.5159, 0.0000, 0.0000], [0.0000, 4.5159, 0.0000], [0.0000, 0.0000, 4.5159]], "species": ["Co", "Br", "F", "F", "F"], "fractional_positions": [[0.0000, 0.0000, 0.0000], [0.5000, 0.5000, 0.5000], [0.0000, 0.5000, 0.5000], [0.5000, 0.0000, 0.5000], [0.5000, 0.5000, 0.0000]], "spacegroup": "Pm-3m, No. 221", "m_tot_mub_per_fu": 2.129, "density_g_cm3": 3.5, "polymorph_energy_ev_per_atom": 0.823}